(1)
{
  "formula": "K2H3",
  "functional": "PBE-GGA",
  "state": "relaxed",
  "lattice_angstrom": [[-1.3002, 0.3288, -5.3543], [5.2677, -0.9630, -1.3383], [-3.3769, -7.1378, 3.2268]],
  "species": ["H", "H", "H", "H", "H", "H", "K", "K", "K", "K"],
  "frac_coords": [[0.8118, 0.3851, 0.7702], [0.9584, 0.3851, 0.7702], [0.7722, 0.7722, 0.5445], [0.1351, 0.2084, 0.2702], [0.5222, 0.0222, 0.0445], [0.1351, 0.0618, 0.2702], [0.9572, 0.9572, 0.9145], [0.7072, 0.2072, 0.4145], [0.5375, 0.5375, 0.0749], [0.2875, 0.7875, 0.5749]],
  "sg": "I4_1md",
  "crystal_system": "tetragonal",
  "e_tot_ev_per_atom": -2.43,
  "total_magnetization_mub_per_atom": 0.000
}


(2)
{
  "formula": "YScCu4",
  "functional": "PBE-GGA",
  "state": "relaxed",
  "lattice_angstrom": [[3.9298, 0.0018, 1.4451], [1.8903, 4.9783, 0.9192], [0.2637, -0.7165, 5.3496]],
  "species": ["Sc", "Cu", "Cu", "Cu", "Cu", "Y"],
  "frac_coords": [[0.5000, 0.5000, 0.5000], [0.2341, 0.1008, 0.4309], [0.2341, 0.4309, 0.1008], [0.7659, 0.8992, 0.5691], [0.7659, 0.5691, 0.8992], [0.0000, 0.0000, 0.0000]],
  "relative_energy_kcal_per_mol_atoms": 0.00,
  "sg": "Immm",
  "crystal_system": "orthorhombic",
  "formation_energy_ev_per_atom": -0.212,
  "total_magnetization_mub_per_atom": 0.000
}


(3)
{
  "formula": "HoLuCoHg",
  "functional": "PBE-GGA",
  "state": "relaxed",
  "lattice_angstrom": [[-0.1634, 0.6484, 4.9131], [-0.0281, -3.9324, 3.0201], [3.9822, -1.0271, 2.7701]],
  "species": ["Lu", "Hg", "Ho", "Co"],
  "frac_coords": [[0.0000, 0.0000, 0.0000], [0.7500, 0.7500, 0.7500], [0.5000, 0.5000, 0.5000], [0.2500, 0.2500, 0.2500]],
  "sg": "F-43m",
  "crystal_system": "cubic",
  "formation_energy_ev_per_atom": -0.250,
  "total_magnetization_mub_per_atom": 0.151
}


(4)
{
  "formula": "Mn4V5Co",
  "functional": "PBE-GGA",
  "state": "relaxed",
  "lattice_angstrom": [[2.8805, 0.0000, 0.0000], [0.0000, 2.8805, 0.0000], [0.0000, 0.0000, 14.3561]],
  "species": ["V", "V", "V", "V", "V", "Mn", "Mn", "Mn", "Mn", "Co"],
  "frac_coords": [[0.5000, 0.5000, 0.8971], [0.5000, 0.5000, 0.3008], [0.5000, 0.5000, 0.6992], [0.5000, 0.5000, 0.5000], [0.5000, 0.5000, 0.1029], [0.0000, 0.0000, 0.6000], [0.0000, 0.0000, 0.4000], [0.0000, 0.0000, 0.1995], [0.0000, 0.0000, 0.8005], [0.0000, 0.0000, 0.0000]],
  "sg": "P4/mmm",
  "crystal_system": "tetragonal",
  "formation_energy_ev_per_atom": -0.235,
  "total_magnetization_mub_per_atom": 0.157
}


(5)
{
  "formula": "Pr8Ir3I3Br",
  "functional": "PBE-GGA",
  "state": "relaxed",
  "lattice_angstrom": [[-4.9509, -4.6832, 5.4133], [5.8050, -3.9739, -5.1253], [3.1024, 4.9218, 7.0955]],
  "species": ["Pr", "Pr", "Pr", "Pr", "Pr", "Pr", "Pr", "Pr", "Ir", "Ir", "Ir", "I", "I", "I", "Br"],
  "frac_coords": [[0.7457, 0.0472, 0.2933], [0.7456, 0.4913, 0.2930], [0.3015, 0.0472, 0.2933], [0.2543, 0.9528, 0.7067], [0.2709, 0.5417, 0.3126], [0.7291, 0.4583, 0.6874], [0.2544, 0.5087, 0.7070], [0.6985, 0.9528, 0.7067], [0.0000, 0.5000, 0.5000], [0.5000, 0.5000, 0.5000], [0.5000, 0.0000, 0.5000], [0.5000, 0.5000, 0.0000], [0.0000, 0.5000, 0.0000], [0.0000, 0.0000, 0.0000], [0.0000, 0.0000, 0.5000]],
  "e_form_raw_ev_per_atom": -0.85,
  "sg": "R-3m",
  "crystal_system": "trigonal",
  "total_magnetization_mub_per_atom": 0.000
}


(6)
{
  "formula": "CrCd2H2",
  "functional": "PBE-GGA",
  "state": "relaxed",
  "lattice_angstrom": [[5.5335, 0.0000, 0.0000], [0.0000, 5.5335, 0.0000], [0.0000, 0.0000, 4.5889]],
  "species": ["H", "H", "H", "H", "Cd", "Cd", "Cd", "Cd", "Cr", "Cr"],
  "frac_coords": [[0.7226, 0.7774, 0.0000], [0.2226, 0.7226, 0.0000], [0.2774, 0.2226, 0.0000], [0.7774, 0.2774, 0.0000], [0.6849, 0.8151, 0.5000], [0.3151, 0.1849, 0.5000], [0.1849, 0.6849, 0.5000], [0.8151, 0.3151, 0.5000], [0.5000, 0.5000, 0.0000], [0.0000, 0.0000, 0.0000]],
  "sg": "P4/mbm",
  "crystal_system": "tetragonal",
  "e_tot_ev_per_atom": -3.34,
  "total_magnetization_mub_per_atom": 0.786
}


(7)
{
  "formula": "BaAlWS",
  "functional": "PBE-GGA",
  "state": "relaxed",
  "lattice_angstrom": [[-2.0659, -3.3186, -0.1822], [3.9111, -0.1290, 0.0280], [-0.0616, -0.3462, 7.0021]],
  "species": ["Ba", "W", "S", "Al"],
  "frac_coords": [[0.3333, 0.6667, 0.7403], [0.6667, 0.3333, 0.1773], [0.0000, 0.0000, 0.0477], [0.0000, 0.0000, 0.3891]],
  "e_form_raw_ev_per_atom": -0.05,
  "relative_energy_kcal_per_mol_atoms": 2.97,
  "sg": "P3m1",
  "crystal_system": "trigonal",
  "total_magnetization_mub_per_atom": 0.000
}


(8)
{
  "formula": "RbPdBr3",
  "functional": "PBE-GGA",
  "state": "relaxed",
  "lattice_angstrom": [[-2.9660, -1.9214, -1.8206], [3.7170, -7.8347, 2.2133], [-5.9574, 4.9964, 4.4322]],
  "species": ["Rb", "Br", "Br", "Br", "Pd"],
  "frac_coords": [[0.5000, 0.0981, 0.9019], [0.0000, 0.2509, 0.7491], [0.5000, 0.2111, 0.3500], [0.5000, 0.6500, 0.7889], [0.0000, 0.4178, 0.5822]],
  "e_form_raw_ev_per_atom": -0.62,
  "sg": "Amm2",
  "crystal_system": "orthorhombic",
  "total_magnetization_mub_per_atom": 0.227
}


(9)
{
  "formula": "KNa7",
  "functional": "PBE-GGA",
  "state": "relaxed",
  "lattice_angstrom": [[-2.7877, -4.2581, -5.8352], [4.8331, -3.0254, -5.2384], [1.2482, -7.6399, -0.1584]],
  "species": ["Na", "Na", "Na", "Na", "Na", "Na", "Na", "K"],
  "frac_coords": [[0.5000, 0.5000, 0.5000], [0.5000, 0.5000, 0.0000], [0.5000, 0.0000, 0.5000], [0.0000, 0.5000, 0.5000], [0.5000, 0.0000, 0.0000], [0.0000, 0.5000, 0.0000], [0.0000, 0.0000, 0.5000], [0.0000, 0.0000, 0.0000]],
  "sg": "Fm-3m",
  "crystal_system": "cubic",
  "formation_energy_ev_per_atom": 0.031,
  "total_magnetization_mub_per_atom": 0.000
}


(10)
{
  "formula": "ZnBPS2",
  "functional": "PBE-GGA",
  "state": "relaxed",
  "lattice_angstrom": [[-4.2859, 1.3172, -0.7067], [-0.3534, -2.9781, -3.4073], [-1.1861, -2.5823, 2.3801]],
  "species": ["P", "S", "S", "Zn", "B"],
  "frac_coords": [[0.0000, 0.0000, 0.5000], [0.5000, 0.0000, 0.0000], [0.0000, 0.5000, 0.0000], [0.5000, 0.5000, 0.5000], [0.0000, 0.0000, 0.0000]],
  "e_form_raw_ev_per_atom": 0.70,
  "relative_energy_kcal_per_mol_atoms": 0.00,
  "sg": "P4/mmm",
  "crystal_system": "tetragonal",
  "total_magnetization_mub_per_atom": 0.000
}


(11)
{
  "formula": "Cs2Sc2Br7",
  "functional": "PBE-GGA",
  "state": "relaxed",
  "lattice_angstrom": [[7.6645, -0.1864, -0.2690], [-0.9864, 9.2043, -1.3092], [-0.9864, -4.4580, 8.1584]],
  "species": ["Sc", "Sc", "Cs", "Cs", "Br", "Br", "Br", "Br", "Br", "Br", "Br"],
  "frac_coords": [[0.8931, 0.2778, 0.2778], [0.1069, 0.7222, 0.7222], [0.5000, 0.6880, 0.3120], [0.5000, 0.3120, 0.6880], [0.2385, 0.9286, 0.6407], [0.2385, 0.6407, 0.9286], [0.7615, 0.0714, 0.3593], [0.0000, 0.0000, 0.0000], [0.2342, 0.4499, 0.4499], [0.7658, 0.5501, 0.5501], [0.7615, 0.3593, 0.0714]],
  "e_form_raw_ev_per_atom": -1.64,
  "sg": "C2/m",
  "crystal_system": "monoclinic",
  "total_magnetization_mub_per_atom": 0.095
}


(12)
{
  "formula": "As2SeCl",
  "functional": "PBE-GGA",
  "state": "relaxed",
  "lattice_angstrom": [[-6.3054, -1.3090, -0.4201], [-5.3931, -1.6776, 3.1223], [-1.8718, 4.7695, 0.9783]],
  "species": ["Se", "Cl", "As", "As"],
  "frac_coords": [[0.2510, 0.2510, 0.2334], [0.4937, 0.4937, 0.5584], [0.6582, 0.6582, 0.6829], [0.0971, 0.0971, 0.0254]],
  "e_form_raw_ev_per_atom": -0.13,
  "relative_energy_kcal_per_mol_atoms": 0.10,
  "sg": "Cm",
  "crystal_system": "monoclinic",
  "total_magnetization_mub_per_atom": 0.000
}


(13)
{
  "formula": "Cs2RbNa3",
  "functional": "PBE-GGA",
  "state": "relaxed",
  "lattice_angstrom": [[-7.1626, -2.2457, -3.1285], [2.3737, -3.1996, 7.0896], [0.8686, 7.7264, 3.0534]],
  "species": ["Cs", "Cs", "Rb", "Na", "Na", "Na"],
  "frac_coords": [[0.2381, 0.6179, 0.8560], [0.7619, 0.3821, 0.1440], [0.0000, 0.0000, 0.0000], [0.5000, 0.5000, 0.5000], [0.0000, 0.0000, 0.5000], [0.5000, 0.0000, 0.5000]],
  "sg": "C2/m",
  "crystal_system": "monoclinic",
  "formation_energy_ev_per_atom": 0.028,
  "total_magnetization_mub_per_atom": 0.000
}


(14)
{
  "formula": "PmBiSe",
  "functional": "PBE-GGA",
  "state": "relaxed",
  "lattice_angstrom": [[-2.0314, -2.9484, 1.3169], [4.1140, 0.3980, 1.7114], [-4.6041, 7.3518, 9.3579]],
  "species": ["Se", "Se", "Bi", "Bi", "Pm", "Pm"],
  "frac_coords": [[0.1949, 0.3898, 0.8684], [0.1949, 0.3898, 0.1316], [0.6869, 0.3739, 0.3368], [0.6869, 0.3739, 0.6632], [0.3922, 0.7844, 0.5000], [0.5107, 0.0215, 0.0000]],
  "e_form_raw_ev_per_atom": -0.72,
  "relative_energy_kcal_per_mol_atoms": 12.25,
  "sg": "Amm2",
  "crystal_system": "orthorhombic",
  "total_magnetization_mub_per_atom": 0.000
}


(15)
{
  "formula": "BaLa2HN",
  "functional": "PBE-GGA",
  "state": "relaxed",
  "lattice_angstrom": [[-3.0106, 0.0105, -3.7292], [3.5544, -6.5296, -2.8879], [-3.0569, -2.7521, 2.4601]],
  "species": ["Ba", "La", "La", "N", "H"],
  "frac_coords": [[0.5000, 0.5000, 0.5000], [0.0000, 0.0000, 0.5000], [0.5000, 0.0000, 0.0000], [0.0000, 0.0000, 0.0000], [0.0000, 0.5000, 0.0000]],
  "sg": "P4/mmm",
  "crystal_system": "tetragonal",
  "e_tot_ev_per_atom": -4.78,
  "total_magnetization_mub_per_atom": 0.116
}


(16)
{
  "formula": "Cu4NiPd2",
  "functional": "PBE-GGA",
  "state": "relaxed",
  "lattice_angstrom": [[5.2622, -0.0022, 2.6605], [2.6320, 8.2120, 1.3225], [0.9108, -0.0046, 4.7348]],
  "species": ["Cu", "Cu", "Cu", "Cu", "Cu", "Cu", "Cu", "Cu", "Pd", "Pd", "Pd", "Pd", "Ni", "Ni"],
  "frac_coords": [[0.6548, 0.2504, 0.3799], [0.2284, 0.1587, 0.9973], [0.3837, 0.8418, 0.0049], [0.6562, 0.2495, 0.8791], [0.9761, 0.6580, 0.5044], [0.1376, 0.3416, 0.4962], [0.2864, 0.7496, 0.6204], [0.7860, 0.7504, 0.1207], [0.8342, 0.9689, 0.6000], [0.4036, 0.0311, 0.3995], [0.5543, 0.5308, 0.0996], [0.1854, 0.4691, 0.8990], [0.7070, 0.4999, 0.4993], [0.9565, 0.0002, 0.9996]],
  "relative_energy_kcal_per_mol_atoms": 0.00,
  "sg": "P1",
  "crystal_system": "triclinic",
  "formation_energy_ev_per_atom": 0.022,
  "total_magnetization_mub_per_atom": 0.025
}


(17)
{
  "formula": "Cd6InAu2",
  "functional": "PBE-GGA",
  "state": "relaxed",
  "lattice_angstrom": [[-0.4379, -0.0785, -5.0675], [6.1942, -2.5334, -0.4905], [-4.9311, -4.5232, 0.5017]],
  "species": ["Au", "Au", "Cd", "Cd", "Cd", "Cd", "Cd", "Cd", "In"],
  "frac_coords": [[0.5000, 0.8717, 0.6283], [0.5000, 0.1283, 0.3717], [0.7052, 0.6477, 0.1477], [0.2165, 0.8400, 0.9787], [0.7835, 0.5213, 0.6600], [0.7835, 0.1600, 0.0213], [0.2948, 0.3523, 0.8523], [0.2165, 0.4787, 0.3400], [0.0000, 0.0000, 0.5000]],
  "sg": "C2/m",
  "crystal_system": "monoclinic",
  "formation_energy_ev_per_atom": -0.048,
  "total_magnetization_mub_per_atom": 0.000
}


(18)
{
  "formula": "SiBPO2",
  "functional": "PBE-GGA",
  "state": "relaxed",
  "lattice_angstrom": [[3.2364, 0.0000, 0.0000], [0.0000, 3.2364, 0.0000], [0.0000, 0.0000, 5.9557]],
  "species": ["Si", "O", "O", "B", "P"],
  "frac_coords": [[0.0000, 0.0000, 0.0000], [0.0000, 0.5000, 0.0000], [0.5000, 0.0000, 0.0000], [0.5000, 0.5000, 0.5000], [0.0000, 0.0000, 0.5000]],
  "e_form_raw_ev_per_atom": -0.50,
  "relative_energy_kcal_per_mol_atoms": 0.00,
  "sg": "P4/mmm",
  "crystal_system": "tetragonal",
  "total_magnetization_mub_per_atom": 0.035
}


(19)
{
  "formula": "MnTeAsN2",
  "functional": "PBE-GGA",
  "state": "relaxed",
  "lattice_angstrom": [[3.7615, 0.0000, 0.0000], [0.0000, 3.7615, 0.0000], [0.0000, 0.0000, 6.8365]],
  "species": ["Te", "N", "N", "As", "Mn"],
  "frac_coords": [[0.0000, 0.0000, 0.5000], [0.5000, 0.0000, 0.0000], [0.0000, 0.5000, 0.0000], [0.0000, 0.0000, 0.0000], [0.5000, 0.5000, 0.5000]],
  "e_form_raw_ev_per_atom": 1.24,
  "relative_energy_kcal_per_mol_atoms": 8.11,
  "sg": "P4/mmm",
  "crystal_system": "tetragonal",
  "total_magnetization_mub_per_atom": 1.027
}


(20)
{
  "formula": "PdPtPb6",
  "functional": "PBE-GGA",
  "state": "relaxed",
  "lattice_angstrom": [[5.1916, 0.0000, 1.5291], [-2.8687, 6.9775, 3.3546], [-0.5458, 0.0000, 8.2384]],
  "species": ["Pb", "Pb", "Pb", "Pb", "Pb", "Pb", "Pt", "Pd"],
  "frac_coords": [[0.1459, 0.0000, 0.3062], [0.1459, 0.6938, 0.0000], [0.5479, 0.6938, 0.3062], [0.8541, 0.3062, 0.0000], [0.8541, 0.0000, 0.6938], [0.4521, 0.3062, 0.6938], [0.5000, 0.0000, 0.0000], [0.0000, 0.0000, 0.0000]],
  "relative_energy_kcal_per_mol_atoms": 4.62,
  "sg": "R-3m",
  "crystal_system": "trigonal",
  "formation_energy_ev_per_atom": 0.135,
  "total_magnetization_mub_per_atom": 0.000
}


(21)
{
  "formula": "YHo6Th2",
  "functional": "PBE-GGA",
  "state": "relaxed",
  "lattice_angstrom": [[-2.3082, -2.0147, 1.8069], [2.9226, -1.4652, -1.4012], [13.0739, 4.8910, 22.1547]],
  "species": ["Y", "Th", "Th", "Ho", "Ho", "Ho", "Ho", "Ho", "Ho"],
  "frac_coords": [[0.3333, 0.6667, 0.0000], [0.6667, 0.3333, 0.6711], [0.6667, 0.3333, 0.3289], [0.6667, 0.3333, 0.1092], [0.3333, 0.6667, 0.5634], [0.6667, 0.3333, 0.8908], [0.3333, 0.6667, 0.2167], [0.3333, 0.6667, 0.4366], [0.3333, 0.6667, 0.7833]],
  "sg": "P-6m2",
  "crystal_system": "hexagonal",
  "formation_energy_ev_per_atom": 0.072,
  "total_magnetization_mub_per_atom": 0.001
}


(22)
{
  "formula": "CdSiCl",
  "functional": "PBE-GGA",
  "state": "relaxed",
  "lattice_angstrom": [[4.8081, 0.0000, 0.0000], [2.4041, 4.1640, 0.0000], [2.4041, 1.3880, 3.9258]],
  "species": ["Cl", "Cd", "Si"],
  "frac_coords": [[0.0000, 0.0000, 0.0000], [0.7500, 0.7500, 0.7500], [0.5000, 0.5000, 0.5000]],
  "e_form_raw_ev_per_atom": 0.52,
  "relative_energy_kcal_per_mol_atoms": 14.76,
  "sg": "F-43m",
  "crystal_system": "cubic",
  "total_magnetization_mub_per_atom": 0.313
}


(23)
{
  "formula": "TmHf3Tc2",
  "functional": "PBE-GGA",
  "state": "relaxed",
  "lattice_angstrom": [[3.3064, 0.0000, 0.0000], [0.0000, 3.3064, 0.0000], [0.0000, 0.0000, 11.1320]],
  "species": ["Tc", "Tc", "Hf", "Hf", "Hf", "Tm"],
  "frac_coords": [[0.5000, 0.5000, 0.8487], [0.5000, 0.5000, 0.1513], [0.0000, 0.0000, 0.7183], [0.0000, 0.0000, 0.2817], [0.0000, 0.0000, 0.0000], [0.5000, 0.5000, 0.5000]],
  "sg": "P4/mmm",
  "crystal_system": "tetragonal",
  "formation_energy_ev_per_atom": -0.292,
  "total_magnetization_mub_per_atom": 0.000
}


(24)
{
  "formula": "SrPmIr",
  "functional": "PBE-GGA",
  "state": "relaxed",
  "lattice_angstrom": [[4.8936, -0.2367, -0.0716], [0.2351, 4.8937, -0.0722], [0.1252, 0.1151, 7.5213]],
  "species": ["Pm", "Pm", "Sr", "Sr", "Ir", "Ir"],
  "frac_coords": [[0.3135, 0.8666, 0.9196], [0.8137, 0.3663, 0.9196], [0.8134, 0.8663, 0.5422], [0.3138, 0.3667, 0.2970], [0.3144, 0.3673, 0.7127], [0.8128, 0.8656, 0.1265]],
  "relative_energy_kcal_per_mol_atoms": 0.00,
  "sg": "C2/m",
  "crystal_system": "monoclinic",
  "formation_energy_ev_per_atom": -0.428,
  "total_magnetization_mub_per_atom": 0.000
}


(25)
{
  "formula": "LiTcPt14",
  "functional": "PBE-GGA",
  "state": "relaxed",
  "lattice_angstrom": [[5.5737, -0.0119, 0.0000], [0.0118, 5.5737, 0.0000], [0.0000, 0.0000, 7.8794]],
  "species": ["Pt", "Pt", "Pt", "Pt", "Pt", "Pt", "Pt", "Pt", "Pt", "Pt", "Pt", "Pt", "Pt", "Pt", "Tc", "Li"],
  "frac_coords": [[0.8750, 0.8750, 0.0000], [0.1244, 0.1244, 0.7426], [0.6256, 0.6256, 0.7426], [0.1244, 0.1244, 0.2574], [0.8750, 0.3750, 0.0000], [0.6257, 0.1243, 0.2574], [0.6256, 0.6256, 0.2574], [0.6257, 0.1243, 0.7426], [0.8750, 0.3750, 0.5000], [0.1243, 0.6257, 0.7426], [0.3750, 0.8750, 0.5000], [0.3750, 0.3750, 0.0000], [0.1243, 0.6257, 0.2574], [0.3750, 0.8750, 0.0000], [0.8750, 0.8750, 0.5000], [0.3750, 0.3750, 0.5000]],
  "sg": "P4/mmm",
  "crystal_system": "tetragonal",
  "formation_energy_ev_per_atom": -0.157,
  "total_magnetization_mub_per_atom": 0.000
}